Density functional theory data (PBE) for AcDyTeO2 after structural relaxation.

ΔE_f (raw): -67.8 kcal/mol of atoms
V: 23.6 A^3/atom

a b c (Å): 7.1476 4.2540 8.1311
angles (deg): 90.00 107.67 90.00
Last column: nearest neighbours and their distance in Å.
Space group P2_1/m (No. 11)
Unique sites:
Ac  0.1886  0.2500  0.4270 (multiplicity 2)  4 O 2.44-2.54
Dy  0.1509  0.2500  0.9151 (multiplicity 2)  4 O 2.23-2.33
Te  0.4491  0.7500  0.7653 (multiplicity 2)  3 Dy 3.23-3.48, 3 Ac 3.41-3.53, 1 O 3.57
O  0.0111  0.7500  0.8902 (multiplicity 2)  3 Dy 2.23-2.33
O  0.0130  0.7500  0.3660 (multiplicity 2)  1 Dy 2.23, 2 Ac 2.44

Density functional theory data (PBE) for Na5RhO6 after structural relaxation.

ΔE_f (raw): -25.8 kcal/mol of atoms
V: 12.5 A^3/atom

a b c (Å): 5.7356 9.8801 5.6505
angles (deg): 90.00 110.71 90.00
Last column: nearest neighbours and their distance in Å.
Space group C2/m (No. 12)
Unique sites:
Na  0.0000  0.0000  0.0000 (multiplicity 2)  4 O 2.31
Na  0.0000  0.1671  0.5000 (multiplicity 4)  6 O 2.35-2.40
Na  0.0000  0.3292  0.0000 (multiplicity 4)  6 O 2.34-2.62
Rh  0.0000  0.5000  0.5000 (multiplicity 2)  6 O 1.97
O  0.2088  0.5000  0.2887 (multiplicity 4)  1 Rh 1.97
O  0.2124  0.3595  0.7177 (multiplicity 8)  1 Rh 1.97

Density functional theory data (PBE) for AsPH after structural relaxation.

V: 63.9 A^3/atom
energy above the lowest structure with this stoichiometry: 1637 meV/atom

a b c (Å): 6.9522 6.9522 7.9349
angles (deg): 90.00 90.00 90.00
Last column: nearest neighbours and their distance in Å.
Space group I4mm (No. 107)
Unique sites:
As  0.0000  0.0000  0.0000 (multiplicity 2)  1 H 2.78
P  0.0000  0.0000  0.4673 (multiplicity 2)  1 H 1.45
H  0.0000  0.0000  0.6500 (multiplicity 2)  1 P 1.45

Density functional theory data (PBE) for CrTc2Pb after structural relaxation.

formation energy from the elements: 624 meV/atom
V: 16.6 A^3/atom
energy above the lowest structure with this stoichiometry: 161 meV/atom

a b c (Å): 3.9153 4.1090 4.1204
angles (deg): 90.00 90.00 90.00
Last column: nearest neighbours and their distance in Å.
Space group Pmmm (No. 47)
Unique sites:
Cr  0.0000  0.0000  0.0000 (multiplicity 1)  8 Tc 2.84, 4 Pb 2.91
Tc  0.5000  0.0000  0.5000 (multiplicity 1)  4 Pb 2.84, 4 Cr 2.84, 4 Tc 2.91
Tc  0.5000  0.5000  0.0000 (multiplicity 1)  4 Cr 2.84, 4 Pb 2.84, 4 Tc 2.91
Pb  0.0000  0.5000  0.5000 (multiplicity 1)  8 Tc 2.84, 4 Cr 2.91

Density functional theory data (PBE) for Ag2HgBrO2 after structural relaxation.

ΔE_f (raw): -1.8 kcal/mol of atoms
V: 21.8 A^3/atom

a b c (Å): 6.1158 6.0546 7.0909
angles (deg): 90.00 95.87 90.00
Last column: nearest neighbours and their distance in Å.
Space group P2_1/m (No. 11)
Unique sites:
Ag  0.0183  0.2500  0.0166 (multiplicity 2)  4 O 2.16
Ag  0.3917  0.7500  0.7345 (multiplicity 2)  2 O 2.46, 1 Br 2.62
Hg  0.4942  0.7500  0.1624 (multiplicity 2)  4 O 2.39-2.52
Br  0.2911  0.2500  0.4871 (multiplicity 2)  1 Ag 2.62, 1 Hg 2.69
O  0.2454  0.5138  0.9751 (multiplicity 4)  2 Ag 2.16, 1 Hg 2.39

Density functional theory data (PBE) for CuSiRu2 after structural relaxation.

ΔE_f (raw): -4.3 kcal/mol of atoms
V: 13.0 A^3/atom

a b c (Å): 2.9303 2.9303 6.0348
angles (deg): 90.00 90.00 90.00
Last column: nearest neighbours and their distance in Å.
Space group P4/mmm (No. 123)
Unique sites:
Cu  0.0000  0.0000  0.0000 (multiplicity 1)  8 Ru 2.64, 4 Cu 2.93
Si  0.0000  0.0000  0.5000 (multiplicity 1)  8 Ru 2.49
Ru  0.5000  0.5000  0.2710 (multiplicity 2)  4 Si 2.49, 4 Cu 2.64, 1 Ru 2.76

Density functional theory data (PBE) for Nd6GeRu2Cl3 after structural relaxation.

ΔE_f (raw): -22.7 kcal/mol of atoms
V: 27.9 A^3/atom

a b c (Å): 7.2012 12.5094 7.8083
angles (deg): 90.00 107.97 90.00
Last column: nearest neighbours and their distance in Å.
Space group C2/m (No. 12)
Unique sites:
Nd  0.2172  0.0000  0.2101 (multiplicity 4)  2 Ru 2.81, 1 Ge 2.98, 1 Cl 3.12
Nd  0.2446  0.3236  0.2091 (multiplicity 8)  2 Ru 2.80-2.81, 1 Ge 2.98
Ge  0.0000  0.5000  0.0000 (multiplicity 2)  6 Nd 2.98
Ru  0.0000  0.1664  0.0000 (multiplicity 4)  6 Nd 2.80-2.81
Cl  0.0000  0.0000  0.5000 (multiplicity 2)  6 Nd 3.12-3.29
Cl  0.0000  0.3344  0.5000 (multiplicity 4)  6 Nd 3.14-3.28

Density functional theory data (PBE) for BaSn2F6 after structural relaxation.

ΔE_f (raw): -64.5 kcal/mol of atoms
V: 18.2 A^3/atom
energy above the lowest structure with this stoichiometry: 39 meV/atom

a b c (Å): 11.6505 9.6245 7.5271
angles (deg): 90.00 129.20 90.00
Last column: nearest neighbours and their distance in Å.
Space group C2/c (No. 15)
Unique sites:
Ba  0.0000  0.1553  0.2500 (multiplicity 4)  8 F 2.70-2.85
Sn  0.1684  0.4023  0.0278 (multiplicity 8)  3 F 2.09-2.24
F  0.1079  0.0729  0.6908 (multiplicity 8)  1 Sn 2.09
F  0.1922  0.3903  0.4181 (multiplicity 8)  1 Sn 2.24
F  0.2483  0.1686  0.1446 (multiplicity 8)  2 Sn 2.16-2.38

Density functional theory data (PBE) for FeHgAs2 after structural relaxation.

formation energy from the elements: 11 meV/atom
V: 19.8 A^3/atom

a b c (Å): 18.2012 2.9574 2.9396
angles (deg): 90.00 91.91 90.00
Last column: nearest neighbours and their distance in Å.
Space group Cm (No. 8)
Unique sites:
Fe  0.0000  0.0000  0.0000 (multiplicity 2)  8 As 2.52-2.54
Hg  0.2484  0.0000  0.4185 (multiplicity 2)  4 Hg 2.94-2.96, 1 As 3.16
As  0.0789  0.5000  0.5124 (multiplicity 2)  4 Fe 2.52-2.54
As  0.4220  0.0000  0.4825 (multiplicity 2)  4 Fe 2.52

Density functional theory data (PBE) for Cu2RuCl after structural relaxation.

ΔE_f (raw): 15.6 kcal/mol of atoms
V: 14.8 A^3/atom
energy above the lowest structure with this stoichiometry: 363 meV/atom

a b c (Å): 6.9588 6.9588 4.8767
angles (deg): 90.00 90.00 90.00
Last column: nearest neighbours and their distance in Å.
Space group I-42d (No. 122)
Unique sites:
Cu  0.2320  0.2500  0.1250 (multiplicity 8)  2 Cl 2.45, 2 Cu 2.45, 2 Ru 2.62
Ru  0.0000  0.0000  0.5000 (multiplicity 4)  2 Cl 2.44, 4 Cu 2.62
Cl  0.0000  0.0000  0.0000 (multiplicity 4)  2 Ru 2.44, 4 Cu 2.45

Density functional theory data (PBE) for AlOsPt2 after structural relaxation.

formation energy from the elements: -296 meV/atom
V: 14.8 A^3/atom

a b c (Å): 2.7951 2.7951 7.5866
angles (deg): 90.00 90.00 90.00
Last column: nearest neighbours and their distance in Å.
Space group P4mm (No. 99)
Unique sites:
Al  0.0000  0.0000  0.0000 (multiplicity 1)  4 Pt 2.63, 4 Os 2.68, 4 Al 2.80
Os  0.5000  0.5000  0.2395 (multiplicity 1)  4 Al 2.68, 4 Pt 2.73, 4 Os 2.80
Pt  0.0000  0.0000  0.4874 (multiplicity 1)  4 Os 2.73, 8 Pt 2.80-2.92
Pt  0.5000  0.5000  0.7716 (multiplicity 1)  4 Al 2.63, 8 Pt 2.80-2.92

Density functional theory data (PBE) for RbReAs2Se after structural relaxation.

ΔE_f (raw): 2.5 kcal/mol of atoms
V: 26.0 A^3/atom
energy above the lowest structure with this stoichiometry: 0 meV/atom

a b c (Å): 4.8104 4.8104 5.6250
angles (deg): 90.00 90.00 90.00
Last column: nearest neighbours and their distance in Å.
Space group P4/mmm (No. 123)
Unique sites:
Rb  0.0000  0.0000  0.0000 (multiplicity 1)  4 Se 3.40, 8 As 3.70
Re  0.5000  0.5000  0.5000 (multiplicity 1)  4 As 2.41
As  0.0000  0.5000  0.5000 (multiplicity 2)  2 Re 2.41
Se  0.5000  0.5000  0.0000 (multiplicity 1)  2 Re 2.81

Density functional theory data (PBE) for H2BrCl after structural relaxation.

V: 27.9 A^3/atom
energy above the lowest structure with this stoichiometry: 23 meV/atom

a b c (Å): 9.3978 4.2519 5.5872
angles (deg): 90.00 90.99 90.00
Last column: nearest neighbours and their distance in Å.
Space group Cm (No. 8)
Unique sites:
H  0.0000  0.0000  0.0000 (multiplicity 2)  1 Br 1.44
H  0.0389  0.5000  0.4944 (multiplicity 2)  1 Cl 1.29
Br  0.4016  0.5000  0.7996 (multiplicity 2)  1 H 1.44
Cl  0.1253  0.5000  0.3165 (multiplicity 2)  1 H 1.29

Density functional theory data (PBE) for Nd5Rh2O12 after structural relaxation.

ΔE_f (raw): -57.7 kcal/mol of atoms
V: 14.8 A^3/atom

a b c (Å): 12.7750 6.0998 7.5767
angles (deg): 90.00 107.21 90.00
Last column: nearest neighbours and their distance in Å.
Space group C2/m (No. 12)
Unique sites:
Nd  0.0000  0.0000  0.0000 (multiplicity 2)  6 O 2.41-2.47
Nd  0.1924  0.5000  0.3329 (multiplicity 4)  7 O 2.40-2.49
Nd  0.1950  0.5000  0.8579 (multiplicity 4)  7 O 2.39-2.48
Rh  0.0000  0.2457  0.5000 (multiplicity 4)  6 O 1.98-2.06
O  0.0003  0.5000  0.3219 (multiplicity 4)  2 Rh 2.06
O  0.0006  0.0000  0.6742 (multiplicity 4)  2 Rh 2.00
O  0.1534  0.2490  0.0763 (multiplicity 8)  4 Nd 2.39-2.43
O  0.1617  0.2623  0.5806 (multiplicity 8)  1 Rh 1.98

Density functional theory data (PBE) for Co3AgB after structural relaxation.

formation energy from the elements: 2521 meV/atom
V: 19.8 A^3/atom
energy above the lowest structure with this stoichiometry: 2296 meV/atom

a b c (Å): 4.6287 4.6287 4.6287
angles (deg): 90.00 90.00 90.00
Last column: nearest neighbours and their distance in Å.
Space group Pm-3m (No. 221)
Unique sites:
Co  0.0000  0.0000  0.5000 (multiplicity 3)  2 Ag 2.31
Ag  0.0000  0.0000  0.0000 (multiplicity 1)  6 Co 2.31
B  0.5000  0.5000  0.5000 (multiplicity 1)  12 Co 3.27

Density functional theory data (PBE) for Dy8AlRh2 after structural relaxation.

formation energy from the elements: -337 meV/atom
V: 27.2 A^3/atom

a b c (Å): 8.6535 13.2265 5.4070
angles (deg): 90.00 104.48 90.00
Last column: nearest neighbours and their distance in Å.
Space group C2/m (No. 12)
Unique sites:
Dy  0.0000  0.2431  0.0000 (multiplicity 4)  2 Rh 2.83
Dy  0.1173  0.5000  0.8085 (multiplicity 4)  2 Rh 3.08, 1 Al 3.21, 4 Dy 3.24-3.44
Dy  0.1997  0.1270  0.5753 (multiplicity 8)  2 Rh 2.87-2.91
Al  0.0000  0.0000  0.0000 (multiplicity 2)  8 Dy 3.21-3.58
Rh  0.0000  0.3065  0.5000 (multiplicity 4)  8 Dy 2.83-3.08

Density functional theory data (PBE) for KBeGe2O6 after structural relaxation.

ΔE_f (raw): -39.0 kcal/mol of atoms
V: 14.4 A^3/atom

a b c (Å): 10.0629 11.0635 5.5908
angles (deg): 90.00 111.95 90.00
Last column: nearest neighbours and their distance in Å.
Space group C2/c (No. 15)
Unique sites:
K  0.0000  0.1104  0.2500 (multiplicity 4)  4 O 2.65-2.68
Be  0.0000  0.2245  0.7500 (multiplicity 4)  4 O 1.61-1.64
Ge  0.1918  0.4138  0.1422 (multiplicity 8)  4 O 1.74-1.79
O  0.0691  0.2978  0.0158 (multiplicity 8)  1 Be 1.61, 1 Ge 1.74
O  0.1284  0.1313  0.7564 (multiplicity 8)  1 Be 1.64, 1 Ge 1.75
O  0.1715  0.4591  0.4348 (multiplicity 8)  2 Ge 1.78-1.79

Density functional theory data (PBE) for RbTc3W after structural relaxation.

formation energy from the elements: 1769 meV/atom
V: 23.6 A^3/atom
energy above the lowest structure with this stoichiometry: 0 meV/atom

a b c (Å): 4.9017 4.9017 4.9017
angles (deg): 90.00 90.00 90.00
Last column: nearest neighbours and their distance in Å.
Space group Pm-3m (No. 221)
Unique sites:
Rb  0.0000  0.0000  0.0000 (multiplicity 1)  12 Tc 3.47
Tc  0.0000  0.5000  0.5000 (multiplicity 3)  2 W 2.45
W  0.5000  0.5000  0.5000 (multiplicity 1)  6 Tc 2.45

Density functional theory data (PBE) for NaAg3Sb2 after structural relaxation.

ΔE_f (raw): -1.9 kcal/mol of atoms
V: 23.5 A^3/atom
energy above the lowest structure with this stoichiometry: 0 meV/atom

a b c (Å): 16.4576 4.8207 8.2082
angles (deg): 90.00 119.89 90.00
Last column: nearest neighbours and their distance in Å.
Space group C2/m (No. 12)
Unique sites:
Na  0.1316  0.0000  0.1316 (multiplicity 4)  4 Ag 3.08-3.31, 4 Sb 3.37
Ag  0.0004  0.0000  0.3326 (multiplicity 4)  4 Sb 2.74-2.99, 1 Ag 2.75
Ag  0.1899  0.5000  0.4792 (multiplicity 4)  4 Sb 2.88-2.97, 2 Ag 3.03, 1 Na 3.08
Ag  0.1900  0.5000  0.9006 (multiplicity 4)  4 Sb 2.87-2.97, 2 Ag 3.03, 1 Na 3.08
Sb  0.9999  0.5000  0.1726 (multiplicity 4)  4 Ag 2.74-2.88, 1 Sb 2.84
Sb  0.1855  0.0000  0.6856 (multiplicity 4)  8 Ag 2.97-2.99

Density functional theory data (PBE) for HfTaP2Os after structural relaxation.

formation energy from the elements: 1453 meV/atom
V: 21.5 A^3/atom

a b c (Å): 4.7277 4.7277 4.8147
angles (deg): 90.00 90.00 90.00
Last column: nearest neighbours and their distance in Å.
Space group P4/mmm (No. 123)
Unique sites:
Hf  0.0000  0.0000  0.0000 (multiplicity 1)  4 P 2.36, 2 Os 2.41
Ta  0.5000  0.5000  0.5000 (multiplicity 1)  4 Os 3.34, 8 P 3.37
P  0.0000  0.5000  0.0000 (multiplicity 2)  2 Hf 2.36
Os  0.0000  0.0000  0.5000 (multiplicity 1)  2 Hf 2.41

Density functional theory data (PBE) for Mg2CdRe after structural relaxation.

formation energy from the elements: 423 meV/atom
V: 17.9 A^3/atom

a b c (Å): 4.1431 4.1431 8.3277
angles (deg): 90.00 90.00 90.00
Last column: nearest neighbours and their distance in Å.
Space group I4/mmm (No. 139)
Unique sites:
Mg  0.0000  0.5000  0.2500 (multiplicity 4)  4 Mg 2.93, 4 Cd 2.94, 4 Re 2.94
Cd  0.0000  0.0000  0.0000 (multiplicity 2)  4 Re 2.93, 8 Mg 2.94
Re  0.0000  0.0000  0.5000 (multiplicity 2)  4 Cd 2.93, 8 Mg 2.94

Density functional theory data (PBE) for Np2TlBr8 after structural relaxation.

ΔE_f (raw): -27.1 kcal/mol of atoms
V: 42.0 A^3/atom
energy above the lowest structure with this stoichiometry: 0 meV/atom

a b c (Å): 13.3987 8.6575 8.1122
angles (deg): 90.00 101.17 90.00
Last column: nearest neighbours and their distance in Å.
Space group C2/m (No. 12)
Unique sites:
Np  0.2316  0.0000  0.4829 (multiplicity 4)  6 Br 2.70-2.92
Tl  0.0000  0.5000  0.0000 (multiplicity 2)  6 Br 3.23-3.56
Br  0.1205  0.2780  0.3525 (multiplicity 8)  2 Np 2.89-2.92
Br  0.1306  0.0000  0.7401 (multiplicity 4)  1 Np 2.70
Br  0.1877  0.5000  0.8033 (multiplicity 4)  1 Np 2.74

Density functional theory data (PBE) for BaSbAu2 after structural relaxation.

ΔE_f (raw): -12.6 kcal/mol of atoms
V: 30.7 A^3/atom

a b c (Å): 10.3921 4.9311 5.0759
angles (deg): 90.00 109.21 90.00
Last column: nearest neighbours and their distance in Å.
Space group Cm (No. 8)
Unique sites:
Ba  0.0000  0.0000  0.0000 (multiplicity 2)  5 Au 3.26-3.54, 3 Sb 3.61-3.63
Sb  0.3479  0.0000  0.4633 (multiplicity 2)  3 Au 2.72-2.74
Au  0.1265  0.5000  0.6801 (multiplicity 2)  1 Sb 2.74, 2 Au 2.82-2.84
Au  0.2537  0.5000  0.2638 (multiplicity 2)  2 Sb 2.72, 2 Au 2.82-2.84

Density functional theory data (PBE) for LiThSc2 after structural relaxation.

formation energy from the elements: 79 meV/atom
V: 24.5 A^3/atom
energy above the lowest structure with this stoichiometry: 0 meV/atom

a b c (Å): 3.5700 3.5700 7.6783
angles (deg): 90.00 90.00 90.00
Last column: nearest neighbours and their distance in Å.
Space group P4/mmm (No. 123)
Unique sites:
Li  0.0000  0.0000  0.0000 (multiplicity 1)  8 Sc 3.03
Th  0.0000  0.0000  0.5000 (multiplicity 1)  8 Sc 3.32, 4 Th 3.57
Sc  0.5000  0.5000  0.2187 (multiplicity 2)  4 Li 3.03, 4 Th 3.32, 1 Sc 3.36